Compound: Ca2NdRh9
Source: Alexandria via LeMat-Bulk
Functional: PBE
Structure: relaxed

Geometry as POSCAR:
```
Ca2NdRh9
1.0
2.656 1.533 8.757
-2.656 1.533 8.757
0.000 -3.067 8.757
Ca Nd Rh
2 1 9
direct
0.141 0.141 0.141
0.859 0.859 0.859
0.000 0.000 0.000
0.083 0.581 0.581
0.333 0.333 0.333
0.419 0.419 0.917
0.419 0.917 0.419
0.500 0.500 0.500
0.581 0.083 0.581
0.581 0.581 0.083
0.667 0.667 0.667
0.917 0.419 0.419
```

The calculation puts the total energy at -0.2428 Ha/atom. As for the volume: 214.0 Å³/cell. The calculation puts the density of states at the Fermi level at 16.73 states/eV per cell. For the theoretical density, the calculation gives 8.9 g cm⁻³. Its symmetry is No. 166.

Compound: NaPt2O
Source: Alexandria via LeMat-Bulk
Functional: PBE
Structure: relaxed

Geometry as POSCAR:
```
NaPt2O
1.0
5.296 0.000 0.000
0.000 5.296 0.000
0.000 0.000 12.119
Na Pt O
4 8 4
direct
0.000 0.250 0.375
0.000 0.750 0.625
0.500 0.250 0.125
0.500 0.750 0.875
0.000 0.000 0.000
0.000 0.500 0.000
0.250 0.250 0.750
0.250 0.750 0.250
0.500 0.000 0.500
0.500 0.500 0.500
0.750 0.250 0.750
0.750 0.750 0.250
0.000 0.250 0.875
0.000 0.750 0.125
0.500 0.250 0.625
0.500 0.750 0.375
```

The calculation puts the total energy at -0.1767 Ha/atom. As for the volume: 340.0 Å³/cell. The calculation puts the density of states at the Fermi level at 1.94 states/eV per cell. The value obtained for the formation energy from raw total energies is -0.219 eV per atom. For the theoretical density, the calculation gives 8.4 g cm⁻³. Its symmetry is No. 141.

Compound: P2SIBr
Source: Alexandria via LeMat-Bulk
Functional: PBE
Structure: relaxed

Geometry as POSCAR:
```
P2SIBr
1.0
5.106 0.000 0.000
0.000 5.106 0.000
0.000 0.000 4.737
P S I Br
2 1 1 1
direct
0.000 0.500 0.000
0.500 0.000 0.000
0.000 0.000 0.500
0.500 0.500 0.500
0.000 0.000 0.000
```

The calculation puts the total energy at -0.0829 Ha/atom. The relative energy among the computed polymorphs comes out at 0.0 meV/atom. As for the volume: 123.5 Å³/cell. The calculation puts the density of states at the Fermi level at 3.89 states/eV per cell. The value obtained for the formation energy from raw total energies is 1.378 eV per atom. For the theoretical density, the calculation gives 4.0 g cm⁻³. Its symmetry is No. 123.

Compound: SrMgRe
Source: Alexandria via LeMat-Bulk
Functional: PBE
Structure: relaxed

Geometry as POSCAR:
```
SrMgRe
1.0
2.896 0.000 0.000
0.000 4.376 0.000
0.000 0.000 10.832
Sr Mg Re
2 2 2
direct
0.000 0.000 0.000
0.500 0.500 0.500
0.000 0.000 0.713
0.500 0.500 0.213
0.000 0.000 0.308
0.500 0.500 0.808
```

The calculation puts the total energy at -0.1647 Ha/atom. The relative energy among the computed polymorphs comes out at 0.0 meV/atom. As for the volume: 137.3 Å³/cell. The calculation puts the density of states at the Fermi level at 4.22 states/eV per cell. For the theoretical density, the calculation gives 7.2 g cm⁻³. Its symmetry is No. 44.

Compound: Tl2RuOF5
Source: Alexandria via LeMat-Bulk
Functional: PBE
Structure: relaxed

Geometry as POSCAR:
```
Tl2RuOF5
1.0
-3.012 3.012 4.653
3.012 -3.012 4.653
3.012 3.012 -4.653
Tl Ru O F
2 1 1 5
direct
0.000 0.500 0.500
0.500 0.000 0.500
0.247 0.247 0.000
0.053 0.053 0.000
0.029 0.029 0.545
0.029 0.484 0.000
0.466 0.466 0.000
0.484 0.029 0.000
0.484 0.484 0.455
```

The calculation puts the total energy at -0.1771 Ha/atom. As for the volume: 168.8 Å³/cell. The calculation puts the density of states at the Fermi level at 1.07 states/eV per cell. The value obtained for the formation energy from raw total energies is -1.672 eV per atom. For the theoretical density, the calculation gives 6.1 g cm⁻³. Its symmetry is No. 107.

Compound: GdTiZn4
Source: Alexandria via LeMat-Bulk
Functional: PBE
Structure: relaxed

Geometry as POSCAR:
```
GdTiZn4
1.0
0.000 3.743 3.743
3.743 0.000 3.743
3.743 3.743 0.000
Gd Ti Zn
1 1 4
direct
0.000 0.000 0.000
0.750 0.750 0.750
0.376 0.376 0.376
0.376 0.376 0.872
0.376 0.872 0.376
0.872 0.376 0.376
```

The calculation puts the total energy at -0.1739 Ha/atom. As for the volume: 104.9 Å³/cell. The calculation puts the density of states at the Fermi level at 7.20 states/eV per cell. For the theoretical density, the calculation gives 7.4 g cm⁻³. Its symmetry is No. 216.